# AlNiBO2

A geometry-optimized AlNiBO2 structure (GGA+U, the Alexandria database).

Cell and atoms, written as CIF:
```
data_AlNiBO2
_chemical_formula_sum 'Al1 Ni1 B1 O2'
_space_group_name_H-M_alt 'P 1'
_space_group_IT_number 1
_cell_length_a 3.430
_cell_length_b 5.543
_cell_length_c 3.430
_cell_angle_alpha 90.00
_cell_angle_beta 90.00
_cell_angle_gamma 90.00
loop_
_space_group_symop_operation_xyz
'x,y,z'
loop_
_atom_site_label
_atom_site_fract_x
_atom_site_fract_y
_atom_site_fract_z
_atom_site_occupancy
Ni1 0.500 0.500 0.500 1
B1 0.000 0.500 0.000 1
Al1 0.000 0.000 0.000 1
O1 0.000 0.000 0.500 1
O2 0.500 0.000 0.000 1
```

Summary:
* M_tot: 0.2165 μB/atom
* DOS at the Fermi energy: 0.4473 states/eV per atom
* calculated total energy: -4.7209 eV/atom
* crystal system: tetragonal